{
  "formula": "SrFe2Cu",
  "functional": "PBE-GGA",
  "state": "optimized geometry",
  "mass_density_g_cm3": 5.65,
  "e_tot_ev_per_atom": -5.09,
  "lattice": [[3.0676, 0.0000, 0.0000], [0.0000, 4.3316, 0.0000], [-1.1539, 0.0000, 5.8154]],
  "species": ["Sr", "Fe", "Fe", "Cu"],
  "frac_coords": [[0.0000, 0.0000, 0.0000], [0.3001, 0.5000, 0.6498], [0.6999, 0.5000, 0.3502], [0.5000, 0.0000, 0.5000]]
}


{
  "formula": "Sr4FeCu",
  "functional": "PBE-GGA",
  "state": "optimized geometry",
  "mass_density_g_cm3": 3.05,
  "e_tot_ev_per_atom": -2.11,
  "lattice": [[0.0000, 5.0358, 5.0358], [5.0358, 0.0000, 5.0358], [5.0358, 5.0358, 0.0000]],
  "species": ["Sr", "Sr", "Sr", "Sr", "Fe", "Cu"],
  "frac_coords": [[0.1251, 0.1251, 0.1251], [0.1251, 0.1251, 0.6246], [0.1251, 0.6246, 0.1251], [0.6246, 0.1251, 0.1251], [0.5000, 0.5000, 0.5000], [0.7500, 0.7500, 0.7500]]
}


{
  "formula": "SrFe3Cu",
  "functional": "PBE-GGA",
  "state": "optimized geometry",
  "de_polymorph_kj_per_mol_fu": 731,
  "mass_density_g_cm3": 5.05,
  "e_tot_ev_per_atom": -3.84,
  "lattice": [[4.7141, 0.0000, 0.0000], [0.0000, 4.7141, 0.0000], [0.0000, 0.0000, 4.7141]],
  "species": ["Sr", "Fe", "Fe", "Fe", "Cu"],
  "frac_coords": [[0.0000, 0.0000, 0.0000], [0.0000, 0.0000, 0.5000], [0.0000, 0.5000, 0.0000], [0.5000, 0.0000, 0.0000], [0.5000, 0.5000, 0.5000]]
}


{
  "formula": "Sr2FeCu2",
  "functional": "PBE-GGA",
  "state": "optimized geometry",
  "mass_density_g_cm3": 4.95,
  "e_tot_ev_per_atom": -3.67,
  "lattice": [[7.2879, 0.0000, 0.0000], [0.0000, 7.2879, 0.0000], [0.0000, 0.0000, 4.5280]],
  "species": ["Sr", "Sr", "Sr", "Sr", "Fe", "Fe", "Cu", "Cu", "Cu", "Cu"],
  "frac_coords": [[0.1810, 0.3190, 0.0000], [0.3190, 0.8190, 0.0000], [0.6810, 0.1810, 0.0000], [0.8190, 0.6810, 0.0000], [0.0000, 0.0000, 0.5000], [0.5000, 0.5000, 0.5000], [0.1232, 0.6232, 0.5000], [0.3768, 0.1232, 0.5000], [0.6232, 0.8768, 0.5000], [0.8768, 0.3768, 0.5000]]
}


{
  "formula": "Sr2TaFeCu",
  "functional": "PBE-GGA",
  "state": "optimized geometry",
  "mass_density_g_cm3": 5.55,
  "e_tot_ev_per_atom": -4.14,
  "lattice": [[5.6427, 0.0000, 0.0000], [0.0000, 5.6427, 0.0000], [0.0000, 0.0000, 4.4686]],
  "species": ["Sr", "Sr", "Ta", "Fe", "Cu"],
  "frac_coords": [[0.0000, 0.5000, 0.0000], [0.5000, 0.0000, 0.0000], [0.0000, 0.0000, 0.5000], [0.5000, 0.5000, 0.5000], [0.5000, 0.5000, 0.0000]]
}


{
  "formula": "SrV2FeCu",
  "functional": "PBE-GGA",
  "state": "optimized geometry",
  "mass_density_g_cm3": 4.82,
  "e_tot_ev_per_atom": -5.43,
  "lattice": [[4.7492, 0.0000, 0.0000], [0.0000, 4.7492, 0.0000], [0.0000, 0.0000, 4.7222]],
  "species": ["Sr", "V", "V", "Fe", "Cu"],
  "frac_coords": [[0.0000, 0.0000, 0.0000], [0.0000, 0.5000, 0.5000], [0.5000, 0.0000, 0.5000], [0.5000, 0.5000, 0.0000], [0.5000, 0.5000, 0.5000]]
}


{
  "formula": "SrFeCuW2",
  "functional": "PBE-GGA",
  "state": "optimized geometry",
  "mass_density_g_cm3": 8.98,
  "e_tot_ev_per_atom": -4.62,
  "lattice": [[4.8352, 0.0000, 0.0000], [0.0000, 4.8352, 0.0000], [0.0000, 0.0000, 4.5471]],
  "species": ["Sr", "Fe", "Cu", "W", "W"],
  "frac_coords": [[0.0000, 0.0000, 0.0000], [0.0000, 0.0000, 0.5000], [0.5000, 0.5000, 0.5000], [0.0000, 0.5000, 0.0000], [0.5000, 0.0000, 0.0000]]
}


{
  "formula": "TaFe2Cu",
  "functional": "PBE-GGA",
  "state": "optimized geometry",
  "mass_density_g_cm3": 10.76,
  "e_tot_ev_per_atom": -7.91,
  "lattice": [[2.6801, 0.0000, 0.0000], [-1.3400, 2.3210, 0.0000], [0.0000, 0.0000, 26.5176]],
  "species": ["Ta", "Ta", "Ta", "Fe", "Fe", "Fe", "Fe", "Fe", "Fe", "Cu", "Cu", "Cu"],
  "frac_coords": [[0.0000, 0.0000, 0.0000], [0.3333, 0.6667, 0.6667], [0.6667, 0.3333, 0.3333], [0.0000, 0.0000, 0.2451], [0.0000, 0.0000, 0.7549], [0.3333, 0.6667, 0.4216], [0.3333, 0.6667, 0.9117], [0.6667, 0.3333, 0.0883], [0.6667, 0.3333, 0.5784], [0.0000, 0.0000, 0.5000], [0.3333, 0.6667, 0.1667], [0.6667, 0.3333, 0.8333]]
}


{
  "formula": "TaFe2Cu",
  "functional": "PBE-GGA",
  "state": "optimized geometry",
  "mass_density_g_cm3": 10.41,
  "e_tot_ev_per_atom": -7.66,
  "lattice": [[6.6567, 0.0000, 0.0000], [0.0000, 6.6567, 0.0000], [0.0000, 0.0000, 5.1307]],
  "species": ["Ta", "Ta", "Ta", "Ta", "Fe", "Fe", "Fe", "Fe", "Fe", "Fe", "Fe", "Fe", "Cu", "Cu", "Cu", "Cu"],
  "frac_coords": [[0.0000, 0.0000, 0.0000], [0.0000, 0.5000, 0.2500], [0.5000, 0.0000, 0.7500], [0.5000, 0.5000, 0.5000], [0.2399, 0.2500, 0.6250], [0.2500, 0.7399, 0.8750], [0.2500, 0.7601, 0.3750], [0.2601, 0.2500, 0.1250], [0.7399, 0.7500, 0.1250], [0.7500, 0.2399, 0.3750], [0.7500, 0.2601, 0.8750], [0.7601, 0.7500, 0.6250], [0.0000, 0.0000, 0.5000], [0.0000, 0.5000, 0.7500], [0.5000, 0.0000, 0.2500], [0.5000, 0.5000, 0.0000]]
}


{
  "formula": "TaFe2Cu",
  "functional": "PBE-GGA",
  "state": "optimized geometry",
  "mass_density_g_cm3": 11.08,
  "e_tot_ev_per_atom": -8.05,
  "lattice": [[2.6129, 0.0000, 0.0000], [0.0000, 4.2100, 0.0000], [-0.6790, 0.0000, 4.8526]],
  "species": ["Ta", "Fe", "Fe", "Cu"],
  "frac_coords": [[0.0000, 0.0000, 0.0000], [0.2558, 0.5000, 0.7426], [0.7442, 0.5000, 0.2574], [0.5000, 0.0000, 0.5000]]
}


{
  "formula": "TaFeCu2",
  "functional": "PBE-GGA",
  "state": "optimized geometry",
  "de_polymorph_kj_per_mol_fu": 24,
  "mass_density_g_cm3": 11.54,
  "e_tot_ev_per_atom": -7.02,
  "lattice": [[3.7618, 0.0000, 0.0000], [0.0000, 3.7618, 0.0000], [0.0000, 0.0000, 7.4018]],
  "species": ["Ta", "Ta", "Fe", "Fe", "Cu", "Cu", "Cu", "Cu"],
  "frac_coords": [[0.0000, 0.0000, 0.0000], [0.5000, 0.5000, 0.5000], [0.0000, 0.5000, 0.2500], [0.5000, 0.0000, 0.7500], [0.0000, 0.0000, 0.5000], [0.0000, 0.5000, 0.7500], [0.5000, 0.0000, 0.2500], [0.5000, 0.5000, 0.0000]]
}


{
  "formula": "Ta3FeCu",
  "functional": "PBE-GGA",
  "state": "optimized geometry",
  "de_polymorph_kj_per_mol_fu": 0,
  "mass_density_g_cm3": 11.70,
  "e_tot_ev_per_atom": -8.75,
  "lattice": [[4.5464, 0.0000, 0.0000], [0.0000, 4.5464, 0.0000], [0.0000, 0.0000, 4.5464]],
  "species": ["Ta", "Ta", "Ta", "Fe", "Cu"],
  "frac_coords": [[0.0000, 0.0000, 0.5000], [0.0000, 0.5000, 0.0000], [0.5000, 0.0000, 0.0000], [0.0000, 0.0000, 0.0000], [0.5000, 0.5000, 0.5000]]
}


{
  "formula": "TaFe2Cu",
  "functional": "PBE-GGA",
  "state": "optimized geometry",
  "mass_density_g_cm3": 11.18,
  "e_tot_ev_per_atom": -8.11,
  "lattice": [[2.6688, 0.0000, 0.0000], [0.0000, 3.8241, 0.0000], [-0.7271, 0.0000, 5.1845]],
  "species": ["Ta", "Fe", "Fe", "Cu"],
  "frac_coords": [[0.0000, 0.0000, 0.0000], [0.0781, 0.0000, 0.5152], [0.4877, 0.5000, 0.7406], [0.5604, 0.5000, 0.2771]]
}


{
  "formula": "TaFe2Cu",
  "functional": "PBE-GGA",
  "state": "optimized geometry",
  "mass_density_g_cm3": 11.10,
  "e_tot_ev_per_atom": -8.04,
  "lattice": [[5.2137, 0.0000, 0.0000], [0.0000, 8.3449, 0.0000], [-0.9300, 0.0000, 2.4494]],
  "species": ["Ta", "Ta", "Fe", "Fe", "Fe", "Fe", "Cu", "Cu"],
  "frac_coords": [[0.0000, 0.0000, 0.0000], [0.5000, 0.5000, 0.0000], [0.2500, 0.2500, 0.5000], [0.2500, 0.7500, 0.5000], [0.7500, 0.2500, 0.5000], [0.7500, 0.7500, 0.5000], [0.0000, 0.5000, 0.0000], [0.5000, 0.0000, 0.0000]]
}


{
  "formula": "TaFeCu2",
  "functional": "PBE-GGA",
  "state": "optimized geometry",
  "de_polymorph_kj_per_mol_fu": 31,
  "mass_density_g_cm3": 11.14,
  "e_tot_ev_per_atom": -7.01,
  "lattice": [[3.7229, 0.0000, 0.0000], [0.0000, 3.8737, 0.0000], [0.0000, 0.0000, 7.5241]],
  "species": ["Ta", "Ta", "Fe", "Fe", "Cu", "Cu", "Cu", "Cu"],
  "frac_coords": [[0.0000, 0.0000, 0.0000], [0.5000, 0.5000, 0.0000], [0.0000, 0.5000, 0.2736], [0.5000, 0.0000, 0.2736], [0.0000, 0.0000, 0.5001], [0.0000, 0.5000, 0.7278], [0.5000, 0.0000, 0.7278], [0.5000, 0.5000, 0.5001]]
}


{
  "formula": "TaFe2Cu",
  "functional": "PBE-GGA",
  "state": "optimized geometry",
  "mass_density_g_cm3": 10.92,
  "e_tot_ev_per_atom": -8.05,
  "lattice": [[2.6466, 0.0000, 0.0000], [0.0000, 2.6466, 0.0000], [0.0000, 0.0000, 7.7308]],
  "species": ["Ta", "Fe", "Fe", "Cu"],
  "frac_coords": [[0.0000, 0.0000, 0.0000], [0.5000, 0.5000, 0.2727], [0.5000, 0.5000, 0.7273], [0.0000, 0.0000, 0.5000]]
}


{
  "formula": "TaFeCu2",
  "functional": "PBE-GGA",
  "state": "optimized geometry",
  "de_polymorph_kj_per_mol_fu": 52,
  "mass_density_g_cm3": 11.21,
  "e_tot_ev_per_atom": -6.95,
  "lattice": [[2.6284, 0.0000, 0.0000], [0.0000, 4.2973, 0.0000], [-1.1352, 0.0000, 4.7704]],
  "species": ["Ta", "Fe", "Cu", "Cu"],
  "frac_coords": [[0.0000, 0.0000, 0.0000], [0.5000, 0.0000, 0.5000], [0.3322, 0.5000, 0.7339], [0.6678, 0.5000, 0.2661]]
}


{
  "formula": "TaFeCu2",
  "functional": "PBE-GGA",
  "state": "optimized geometry",
  "de_polymorph_kj_per_mol_fu": 31,
  "mass_density_g_cm3": 11.59,
  "e_tot_ev_per_atom": -7.01,
  "lattice": [[3.5426, 0.0000, 0.0000], [0.0000, 3.5426, 0.0000], [0.0000, 0.0000, 4.1533]],
  "species": ["Ta", "Fe", "Cu", "Cu"],
  "frac_coords": [[0.0000, 0.0000, 0.0000], [0.5000, 0.5000, 0.0000], [0.0000, 0.5000, 0.5000], [0.5000, 0.0000, 0.5000]]
}


{
  "formula": "TaFe2Cu",
  "functional": "PBE-GGA",
  "state": "optimized geometry",
  "mass_density_g_cm3": 11.07,
  "e_tot_ev_per_atom": -8.13,
  "lattice": [[2.9751, 0.0000, 0.0000], [0.0000, 2.9751, 0.0000], [0.0000, 0.0000, 6.0361]],
  "species": ["Ta", "Fe", "Fe", "Cu"],
  "frac_coords": [[0.0000, 0.0000, 0.0000], [0.0000, 0.0000, 0.5210], [0.5000, 0.5000, 0.7387], [0.5000, 0.5000, 0.2935]]
}


{
  "formula": "TaFeCu2",
  "functional": "PBE-GGA",
  "state": "optimized geometry",
  "de_polymorph_kj_per_mol_fu": 78,
  "mass_density_g_cm3": 10.87,
  "e_tot_ev_per_atom": -6.88,
  "lattice": [[2.7196, 0.0000, 0.0000], [-1.3598, 2.3552, 0.0000], [0.0000, 0.0000, 26.0333]],
  "species": ["Ta", "Ta", "Ta", "Fe", "Fe", "Fe", "Cu", "Cu", "Cu", "Cu", "Cu", "Cu"],
  "frac_coords": [[0.0000, 0.0000, 0.0000], [0.3333, 0.6667, 0.6667], [0.6667, 0.3333, 0.3333], [0.0000, 0.0000, 0.2441], [0.3333, 0.6667, 0.9107], [0.6667, 0.3333, 0.5774], [0.0000, 0.0000, 0.4995], [0.0000, 0.0000, 0.7555], [0.3333, 0.6667, 0.1661], [0.3333, 0.6667, 0.4221], [0.6667, 0.3333, 0.0888], [0.6667, 0.3333, 0.8328]]
}


Energy relative to the elements? In order: 0.584, 1.109, 2.397, 0.333, 1.415, 1.066, 3.411, 0.304, 0.559, 0.167, 0.103, 0.875, 0.113, 0.178, 0.121, 0.170, 0.176, 0.121, 0.084, 0.242 eV per atom.